DFT (GGA-PBE) results for crystalline CeHoPu2As4 at its relaxed geometry.

Geometry as POSCAR:
```
CeHoPu2As4
1.0
7.1669 0.0000 0.0000
0.0000 4.1608 0.0000
-2.4109 0.0000 6.7822
Ce Ho Pu As
1 1 2 4
Direct
0.0000 0.0000 0.0000 Ce
0.0000 0.5000 0.5000 Ho
0.5000 0.0000 0.5000 Pu
0.5000 0.5000 0.0000 Pu
0.2516 0.0000 0.7483 As
0.2526 0.5000 0.2536 As
0.7474 0.5000 0.7464 As
0.7484 0.0000 0.2517 As
```

Properties
space-group type = P2/m (10)
formation energy = -1.252 eV/atom


DFT (GGA-PBE) results for crystalline Ce2HoPu3As6 at its relaxed geometry.

Geometry as POSCAR:
```
Ce2HoPu3As6
1.0
9.0585 -2.0835 0.0000
9.0585 2.0835 0.0000
-1.8738 0.0000 8.0797
Ce Ho Pu As
2 1 3 6
Direct
0.1655 0.1655 0.3310 Ce
0.8345 0.8345 0.6690 Ce
0.5000 0.5000 0.0000 Ho
0.1674 0.1674 0.8343 Pu
0.5000 0.5000 0.5000 Pu
0.8326 0.8326 0.1657 Pu
0.0012 0.0012 0.7508 As
0.3332 0.3332 0.4150 As
0.3339 0.3339 0.9206 As
0.6661 0.6661 0.0794 As
0.6668 0.6668 0.5850 As
0.9988 0.9988 0.2492 As
```

Properties
space-group type = C2/m (12)
formation energy = -1.225 eV/atom